# Pu3NpS4

A geometry-optimized Pu3NpS4 structure (PBE, Alexandria).

a b c (Å): 5.5806 5.5806 5.5806
angles (deg): 90.00 90.00 90.00
Fractional positions:
1 Pu 0.0000 0.0000 0.5000
2 Pu 0.0000 0.5000 0.0000
3 Pu 0.5000 0.0000 0.0000
4 Np 0.5000 0.5000 0.5000
5 S 0.0000 0.0000 0.0000
6 S 0.0000 0.5000 0.5000
7 S 0.5000 0.0000 0.5000
8 S 0.5000 0.5000 0.0000

Computed properties:
density	10.5	g/cm³
magnetization	21.0	μB/f.u.
calculated volume	173.8	Å³ per cell
energy relative to the elements, uncorrected	-160	kJ per mole of atoms